# NaZr2Tl2 (PBE, optimized geometry)
# density of states at the Fermi level = 3.88 states/eV/f.u.
# space-group type = No. 127
# uncorrected energy = -4.564 eV/atom
data_NaZr2Tl2
_space_group_name_H-M_alt 'P 1'
_space_group_IT_number 1
_cell_length_a 8.9745
_cell_length_b 8.9745
_cell_length_c 3.1875
_cell_angle_alpha 90.00
_cell_angle_beta 90.00
_cell_angle_gamma 90.00
loop_
_space_group_symop_operation_xyz
'x,y,z'
loop_
_atom_site_label
_atom_site_type_symbol
_atom_site_fract_x
_atom_site_fract_y
_atom_site_fract_z
Na1 Na 0.0000 0.0000 0.0000
Na2 Na 0.5000 0.5000 0.0000
Zr1 Zr 0.1230 0.3770 0.5000
Zr2 Zr 0.3770 0.8770 0.5000
Zr3 Zr 0.6230 0.1230 0.5000
Zr4 Zr 0.8770 0.6230 0.5000
Tl1 Tl 0.1742 0.6742 0.0000
Tl2 Tl 0.3258 0.1742 0.0000
Tl3 Tl 0.6742 0.8258 0.0000
Tl4 Tl 0.8258 0.3258 0.0000

# La4Nd8Th (PBE, optimized geometry)
# density of states at the Fermi level = 23.16 states/eV/f.u.
# space-group type = No. 166
# uncorrected energy = -4.653 eV/atom
data_La4Nd8Th
_space_group_name_H-M_alt 'P 1'
_space_group_IT_number 1
_cell_length_a 7.9184
_cell_length_b 7.9184
_cell_length_c 7.9184
_cell_angle_alpha 97.33
_cell_angle_beta 97.33
_cell_angle_gamma 97.33
loop_
_space_group_symop_operation_xyz
'x,y,z'
loop_
_atom_site_label
_atom_site_type_symbol
_atom_site_fract_x
_atom_site_fract_y
_atom_site_fract_z
La1 La 0.0000 0.0000 0.0000
La2 La 0.0000 0.5000 0.5000
La3 La 0.5000 0.0000 0.5000
La4 La 0.5000 0.5000 0.0000
Nd1 Nd 0.1678 0.1678 0.6688
Nd2 Nd 0.1678 0.6688 0.1678
Nd3 Nd 0.2381 0.2381 0.2381
Nd4 Nd 0.3312 0.8322 0.8322
Nd5 Nd 0.6688 0.1678 0.1678
Nd6 Nd 0.7619 0.7619 0.7619
Nd7 Nd 0.8322 0.3312 0.8322
Nd8 Nd 0.8322 0.8322 0.3312
Th1 Th 0.5000 0.5000 0.5000

# TaRe2I (PBE, optimized geometry)
# density of states at the Fermi level = 1.32 states/eV/f.u.
# formation energy without anion corrections = 1.005 eV per atom
# space-group type = No. 225
# uncorrected energy = -8.570 eV/atom
data_TaRe2I
_space_group_name_H-M_alt 'P 1'
_space_group_IT_number 1
_cell_length_a 4.6305
_cell_length_b 4.6305
_cell_length_c 4.6305
_cell_angle_alpha 60.00
_cell_angle_beta 60.00
_cell_angle_gamma 60.00
loop_
_space_group_symop_operation_xyz
'x,y,z'
loop_
_atom_site_label
_atom_site_type_symbol
_atom_site_fract_x
_atom_site_fract_y
_atom_site_fract_z
Ta1 Ta 0.0000 0.0000 0.0000
Re1 Re 0.2500 0.2500 0.2500
Re2 Re 0.7500 0.7500 0.7500
I1 I 0.5000 0.5000 0.5000

# MnFe3B (PBE, optimized geometry)
# density of states at the Fermi level = 10.82 states/eV/f.u.
# space-group type = No. 221
# uncorrected energy = -7.913 eV/atom
data_MnFe3B
_space_group_name_H-M_alt 'P 1'
_space_group_IT_number 1
_cell_length_a 3.7126
_cell_length_b 3.7126
_cell_length_c 3.7126
_cell_angle_alpha 90.00
_cell_angle_beta 90.00
_cell_angle_gamma 90.00
loop_
_space_group_symop_operation_xyz
'x,y,z'
loop_
_atom_site_label
_atom_site_type_symbol
_atom_site_fract_x
_atom_site_fract_y
_atom_site_fract_z
Mn1 Mn 0.0000 0.0000 0.0000
Fe1 Fe 0.0000 0.5000 0.5000
Fe2 Fe 0.5000 0.0000 0.5000
Fe3 Fe 0.5000 0.5000 0.0000
B1 B 0.5000 0.5000 0.5000

# MnFeB2 (PBE, optimized geometry)
# density of states at the Fermi level = 3.01 states/eV/f.u.
# space-group type = No. 122
# uncorrected energy = -7.499 eV/atom
data_MnFeB2
_space_group_name_H-M_alt 'P 1'
_space_group_IT_number 1
_cell_length_a 4.5335
_cell_length_b 4.5335
_cell_length_c 4.5335
_cell_angle_alpha 107.53
_cell_angle_beta 107.53
_cell_angle_gamma 113.44
loop_
_space_group_symop_operation_xyz
'x,y,z'
loop_
_atom_site_label
_atom_site_type_symbol
_atom_site_fract_x
_atom_site_fract_y
_atom_site_fract_z
Mn1 Mn 0.0000 0.0000 0.0000
Mn2 Mn 0.7500 0.2500 0.5000
Fe1 Fe 0.2500 0.7500 0.5000
Fe2 Fe 0.5000 0.5000 0.0000
B1 B 0.1294 0.6250 0.0044
B2 B 0.3750 0.3794 0.5044
B3 B 0.6206 0.1250 0.9956
B4 B 0.8750 0.8706 0.4956

# Ho2TmBe (PBE, optimized geometry)
# density of states at the Fermi level = 3.97 states/eV/f.u.
# space-group type = No. 123
# uncorrected energy = -4.272 eV/atom
data_Ho2TmBe
_space_group_name_H-M_alt 'P 1'
_space_group_IT_number 1
_cell_length_a 3.4455
_cell_length_b 3.4455
_cell_length_c 8.4569
_cell_angle_alpha 90.00
_cell_angle_beta 90.00
_cell_angle_gamma 90.00
loop_
_space_group_symop_operation_xyz
'x,y,z'
loop_
_atom_site_label
_atom_site_type_symbol
_atom_site_fract_x
_atom_site_fract_y
_atom_site_fract_z
Ho1 Ho 0.0000 0.0000 0.1946
Ho2 Ho 0.0000 0.0000 0.8054
Tm1 Tm 0.5000 0.5000 0.5000
Be1 Be 0.5000 0.5000 0.0000

# Ta (PBE, optimized geometry)
# density of states at the Fermi level = 2.26 states/eV/f.u.
# space-group type = No. 227
# uncorrected energy = -8.977 eV/atom
data_Ta
_space_group_name_H-M_alt 'P 1'
_space_group_IT_number 1
_cell_length_a 4.3110
_cell_length_b 4.3110
_cell_length_c 4.3110
_cell_angle_alpha 60.00
_cell_angle_beta 60.00
_cell_angle_gamma 60.00
loop_
_space_group_symop_operation_xyz
'x,y,z'
loop_
_atom_site_label
_atom_site_type_symbol
_atom_site_fract_x
_atom_site_fract_y
_atom_site_fract_z
Ta1 Ta 0.1250 0.1250 0.1250
Ta2 Ta 0.8750 0.8750 0.8750

# CePm2HoSe4 (PBE, optimized geometry)
# density of states at the Fermi level = 8.67 states/eV/f.u.
# formation energy without anion corrections = -1.807 eV per atom
# space-group type = No. 10
# uncorrected energy = -6.050 eV/atom
data_CePm2HoSe4
_space_group_name_H-M_alt 'P 1'
_space_group_IT_number 1
_cell_length_a 7.2063
_cell_length_b 4.1317
_cell_length_c 7.2479
_cell_angle_alpha 90.00
_cell_angle_beta 109.05
_cell_angle_gamma 90.00
loop_
_space_group_symop_operation_xyz
'x,y,z'
loop_
_atom_site_label
_atom_site_type_symbol
_atom_site_fract_x
_atom_site_fract_y
_atom_site_fract_z
Ce1 Ce 0.0000 0.0000 0.0000
Pm1 Pm 0.5000 0.0000 0.5000
Pm2 Pm 0.5000 0.5000 0.0000
Ho1 Ho 0.0000 0.5000 0.5000
Se1 Se 0.2409 0.0000 0.7412
Se2 Se 0.2456 0.5000 0.2546
Se3 Se 0.7544 0.5000 0.7454
Se4 Se 0.7591 0.0000 0.2588

# RbLiGa3 (PBE, optimized geometry)
# density of states at the Fermi level = 7.80 states/eV/f.u.
# space-group type = No. 221
# uncorrected energy = -1.367 eV/atom
data_RbLiGa3
_space_group_name_H-M_alt 'P 1'
_space_group_IT_number 1
_cell_length_a 6.0107
_cell_length_b 6.0107
_cell_length_c 6.0107
_cell_angle_alpha 90.00
_cell_angle_beta 90.00
_cell_angle_gamma 90.00
loop_
_space_group_symop_operation_xyz
'x,y,z'
loop_
_atom_site_label
_atom_site_type_symbol
_atom_site_fract_x
_atom_site_fract_y
_atom_site_fract_z
Rb1 Rb 0.0000 0.0000 0.0000
Li1 Li 0.5000 0.5000 0.5000
Ga1 Ga 0.0000 0.0000 0.5000
Ga2 Ga 0.0000 0.5000 0.0000
Ga3 Ga 0.5000 0.0000 0.0000

# AlReW (PBE, optimized geometry)
# density of states at the Fermi level = 1.08 states/eV/f.u.
# space-group type = No. 107
# uncorrected energy = -9.869 eV/atom
data_AlReW
_space_group_name_H-M_alt 'P 1'
_space_group_IT_number 1
_cell_length_a 5.1071
_cell_length_b 5.1071
_cell_length_c 5.1071
_cell_angle_alpha 144.20
_cell_angle_beta 144.20
_cell_angle_gamma 51.53
loop_
_space_group_symop_operation_xyz
'x,y,z'
loop_
_atom_site_label
_atom_site_type_symbol
_atom_site_fract_x
_atom_site_fract_y
_atom_site_fract_z
Al1 Al 0.0000 0.0000 0.0000
Re1 Re 0.3320 0.3320 0.0000
W1 W 0.6771 0.6771 0.0000

# LaSm5DyTm2 (PBE, optimized geometry)
# density of states at the Fermi level = 14.52 states/eV/f.u.
# space-group type = No. 36
# uncorrected energy = -4.516 eV/atom
data_LaSm5DyTm2
_space_group_name_H-M_alt 'P 1'
_space_group_IT_number 1
_cell_length_a 10.4661
_cell_length_b 10.4661
_cell_length_c 10.6012
_cell_angle_alpha 90.00
_cell_angle_beta 90.00
_cell_angle_gamma 148.55
loop_
_space_group_symop_operation_xyz
'x,y,z'
loop_
_atom_site_label
_atom_site_type_symbol
_atom_site_fract_x
_atom_site_fract_y
_atom_site_fract_z
La1 La 0.0837 0.9163 0.5000
La2 La 0.9163 0.0837 0.0000
Sm1 Sm 0.0208 0.9792 0.7897
Sm2 Sm 0.1141 0.8859 0.0748
Sm3 Sm 0.2031 0.7969 0.7583
Sm4 Sm 0.2196 0.7804 0.3649
Sm5 Sm 0.4831 0.5169 0.0741
Sm6 Sm 0.5169 0.4831 0.5741
Sm7 Sm 0.7804 0.2196 0.8649
Sm8 Sm 0.7969 0.2031 0.2583
Sm9 Sm 0.8859 0.1141 0.5748
Sm10 Sm 0.9792 0.0208 0.2897
Dy1 Dy 0.3009 0.6991 0.0627
Dy2 Dy 0.6991 0.3009 0.5627
Tm1 Tm 0.3851 0.6149 0.3697
Tm2 Tm 0.3870 0.6130 0.7845
Tm3 Tm 0.6130 0.3870 0.2845
Tm4 Tm 0.6149 0.3851 0.8697

# Ac8Sn6Pb (PBE, optimized geometry)
# density of states at the Fermi level = 12.63 states/eV/f.u.
# space-group type = No. 148
# uncorrected energy = -4.576 eV/atom
data_Ac8Sn6Pb
_space_group_name_H-M_alt 'P 1'
_space_group_IT_number 1
_cell_length_a 8.9746
_cell_length_b 8.9746
_cell_length_c 8.9746
_cell_angle_alpha 68.28
_cell_angle_beta 68.28
_cell_angle_gamma 68.28
loop_
_space_group_symop_operation_xyz
'x,y,z'
loop_
_atom_site_label
_atom_site_type_symbol
_atom_site_fract_x
_atom_site_fract_y
_atom_site_fract_z
Ac1 Ac 0.1268 0.3942 0.6894
Ac2 Ac 0.1669 0.1669 0.1669
Ac3 Ac 0.3106 0.8732 0.6058
Ac4 Ac 0.3942 0.6894 0.1268
Ac5 Ac 0.6058 0.3106 0.8732
Ac6 Ac 0.6894 0.1268 0.3942
Ac7 Ac 0.8331 0.8331 0.8331
Ac8 Ac 0.8732 0.6058 0.3106
Sn1 Sn 0.0588 0.7921 0.4357
Sn2 Sn 0.2079 0.5643 0.9412
Sn3 Sn 0.4357 0.0588 0.7921
Sn4 Sn 0.5643 0.9412 0.2079
Sn5 Sn 0.7921 0.4357 0.0588
Sn6 Sn 0.9412 0.2079 0.5643
Pb1 Pb 0.5000 0.5000 0.5000

# SmTm4Sc3 (PBE, optimized geometry)
# density of states at the Fermi level = 17.22 states/eV/f.u.
# space-group type = No. 71
# uncorrected energy = -5.021 eV/atom
data_SmTm4Sc3
_space_group_name_H-M_alt 'P 1'
_space_group_IT_number 1
_cell_length_a 8.5075
_cell_length_b 8.5075
_cell_length_c 8.5075
_cell_angle_alpha 157.55
_cell_angle_beta 98.11
_cell_angle_gamma 86.26
loop_
_space_group_symop_operation_xyz
'x,y,z'
loop_
_atom_site_label
_atom_site_type_symbol
_atom_site_fract_x
_atom_site_fract_y
_atom_site_fract_z
Sm1 Sm 0.0000 0.0000 0.0000
Tm1 Tm 0.1196 0.8667 0.2529
Tm2 Tm 0.3862 0.1333 0.2529
Tm3 Tm 0.6138 0.8667 0.7471
Tm4 Tm 0.8804 0.1333 0.7471
Sc1 Sc 0.2439 0.7439 0.5000
Sc2 Sc 0.5000 0.5000 0.0000
Sc3 Sc 0.7561 0.2561 0.5000

# PaSiPb (PBE, optimized geometry)
# density of states at the Fermi level = 4.40 states/eV/f.u.
# formation energy without anion corrections = -0.140 eV per atom
# space-group type = No. 63
# uncorrected energy = -6.349 eV/atom
data_PaSiPb
_space_group_name_H-M_alt 'P 1'
_space_group_IT_number 1
_cell_length_a 8.4608
_cell_length_b 8.4608
_cell_length_c 4.0184
_cell_angle_alpha 90.00
_cell_angle_beta 90.00
_cell_angle_gamma 149.81
loop_
_space_group_symop_operation_xyz
'x,y,z'
loop_
_atom_site_label
_atom_site_type_symbol
_atom_site_fract_x
_atom_site_fract_y
_atom_site_fract_z
Pa1 Pa 0.0869 0.9131 0.7500
Pa2 Pa 0.9131 0.0869 0.2500
Si1 Si 0.4544 0.5456 0.7500
Si2 Si 0.5456 0.4544 0.2500
Pb1 Pb 0.2608 0.7392 0.2500
Pb2 Pb 0.7392 0.2608 0.7500

# HfMn3As (PBE, optimized geometry)
# density of states at the Fermi level = 3.68 states/eV/f.u.
# space-group type = No. 221
# uncorrected energy = -7.999 eV/atom
data_HfMn3As
_space_group_name_H-M_alt 'P 1'
_space_group_IT_number 1
_cell_length_a 4.4720
_cell_length_b 4.4720
_cell_length_c 4.4720
_cell_angle_alpha 90.00
_cell_angle_beta 90.00
_cell_angle_gamma 90.00
loop_
_space_group_symop_operation_xyz
'x,y,z'
loop_
_atom_site_label
_atom_site_type_symbol
_atom_site_fract_x
_atom_site_fract_y
_atom_site_fract_z
Hf1 Hf 0.0000 0.0000 0.0000
Mn1 Mn 0.0000 0.5000 0.5000
Mn2 Mn 0.5000 0.0000 0.5000
Mn3 Mn 0.5000 0.5000 0.0000
As1 As 0.5000 0.5000 0.5000

# NaEuErAl (PBE, optimized geometry)
# density of states at the Fermi level = 8.47 states/eV/f.u.
# space-group type = No. 216
# uncorrected energy = -4.963 eV/atom
data_NaEuErAl
_space_group_name_H-M_alt 'P 1'
_space_group_IT_number 1
_cell_length_a 5.4171
_cell_length_b 5.4171
_cell_length_c 5.4171
_cell_angle_alpha 60.00
_cell_angle_beta 60.00
_cell_angle_gamma 60.00
loop_
_space_group_symop_operation_xyz
'x,y,z'
loop_
_atom_site_label
_atom_site_type_symbol
_atom_site_fract_x
_atom_site_fract_y
_atom_site_fract_z
Na1 Na 0.0000 0.0000 0.0000
Eu1 Eu 0.2500 0.2500 0.2500
Er1 Er 0.7500 0.7500 0.7500
Al1 Al 0.5000 0.5000 0.5000

# Pr4TmAu5 (PBE, optimized geometry)
# density of states at the Fermi level = 6.90 states/eV/f.u.
# space-group type = No. 123
# uncorrected energy = -4.770 eV/atom
data_Pr4TmAu5
_space_group_name_H-M_alt 'P 1'
_space_group_IT_number 1
_cell_length_a 3.6704
_cell_length_b 3.6704
_cell_length_c 18.8777
_cell_angle_alpha 90.00
_cell_angle_beta 90.00
_cell_angle_gamma 90.00
loop_
_space_group_symop_operation_xyz
'x,y,z'
loop_
_atom_site_label
_atom_site_type_symbol
_atom_site_fract_x
_atom_site_fract_y
_atom_site_fract_z
Pr1 Pr 0.0000 0.0000 0.1018
Pr2 Pr 0.0000 0.0000 0.3059
Pr3 Pr 0.0000 0.0000 0.6941
Pr4 Pr 0.0000 0.0000 0.8982
Tm1 Tm 0.0000 0.0000 0.5000
Au1 Au 0.5000 0.5000 0.0000
Au2 Au 0.5000 0.5000 0.2034
Au3 Au 0.5000 0.5000 0.4131
Au4 Au 0.5000 0.5000 0.5869
Au5 Au 0.5000 0.5000 0.7966

# Ga2Pd8Se (PBE, optimized geometry)
# density of states at the Fermi level = 5.00 states/eV/f.u.
# formation energy without anion corrections = -0.401 eV per atom
# space-group type = No. 12
# uncorrected energy = -5.045 eV/atom
data_Ga2Pd8Se
_space_group_name_H-M_alt 'P 1'
_space_group_IT_number 1
_cell_length_a 7.7777
_cell_length_b 7.7777
_cell_length_c 5.7624
_cell_angle_alpha 106.72
_cell_angle_beta 106.72
_cell_angle_gamma 31.33
loop_
_space_group_symop_operation_xyz
'x,y,z'
loop_
_atom_site_label
_atom_site_type_symbol
_atom_site_fract_x
_atom_site_fract_y
_atom_site_fract_z
Ga1 Ga 0.1841 0.1841 0.2052
Ga2 Ga 0.8159 0.8159 0.7948
Pd1 Pd 0.0244 0.0244 0.2640
Pd2 Pd 0.2022 0.2022 0.7943
Pd3 Pd 0.3379 0.3379 0.5421
Pd4 Pd 0.4027 0.4027 0.0487
Pd5 Pd 0.5973 0.5973 0.9513
Pd6 Pd 0.6621 0.6621 0.4579
Pd7 Pd 0.7978 0.7978 0.2057
Pd8 Pd 0.9756 0.9756 0.7360
Se1 Se 0.5000 0.5000 0.5000

# Ce6HgPb2 (PBE, optimized geometry)
# density of states at the Fermi level = 25.47 states/eV/f.u.
# space-group type = No. 191
# uncorrected energy = -4.973 eV/atom
data_Ce6HgPb2
_space_group_name_H-M_alt 'P 1'
_space_group_IT_number 1
_cell_length_a 9.1630
_cell_length_b 9.1630
_cell_length_c 3.2185
_cell_angle_alpha 90.00
_cell_angle_beta 90.00
_cell_angle_gamma 120.00
loop_
_space_group_symop_operation_xyz
'x,y,z'
loop_
_atom_site_label
_atom_site_type_symbol
_atom_site_fract_x
_atom_site_fract_y
_atom_site_fract_z
Ce1 Ce 0.0000 0.3211 0.0000
Ce2 Ce 0.0000 0.6789 0.0000
Ce3 Ce 0.3211 0.0000 0.0000
Ce4 Ce 0.3211 0.3211 0.0000
Ce5 Ce 0.6789 0.0000 0.0000
Ce6 Ce 0.6789 0.6789 0.0000
Hg1 Hg 0.0000 0.0000 0.5000
Pb1 Pb 0.3333 0.6667 0.5000
Pb2 Pb 0.6667 0.3333 0.5000

# Sc2Zn2Au (PBE, optimized geometry)
# density of states at the Fermi level = 4.40 states/eV/f.u.
# space-group type = No. 127
# uncorrected energy = -4.160 eV/atom
data_Sc2Zn2Au
_space_group_name_H-M_alt 'P 1'
_space_group_IT_number 1
_cell_length_a 6.9703
_cell_length_b 6.9703
_cell_length_c 3.8043
_cell_angle_alpha 90.00
_cell_angle_beta 90.00
_cell_angle_gamma 90.00
loop_
_space_group_symop_operation_xyz
'x,y,z'
loop_
_atom_site_label
_atom_site_type_symbol
_atom_site_fract_x
_atom_site_fract_y
_atom_site_fract_z
Sc1 Sc 0.1712 0.3288 0.0000
Sc2 Sc 0.3288 0.8288 0.0000
Sc3 Sc 0.6712 0.1712 0.0000
Sc4 Sc 0.8288 0.6712 0.0000
Zn1 Zn 0.1280 0.6280 0.5000
Zn2 Zn 0.3720 0.1280 0.5000
Zn3 Zn 0.6280 0.8720 0.5000
Zn4 Zn 0.8720 0.3720 0.5000
Au1 Au 0.0000 0.0000 0.5000
Au2 Au 0.5000 0.5000 0.5000